Entry 1:
## NiAgH3 (GGA-PBE)

Data for a geometry-optimized NiAgH3 structure.

abc: 3.5308 3.5308 3.5308
angles: 90.00 90.00 90.00
Closest atoms and distances in Å follow each position.
Positions (direct):
Ag: 0.0000 0.0000 0.0000  6 H 1.77
H: 0.5000 0.0000 0.0000  2 Ag 1.77
Ni: 0.5000 0.5000 0.5000  12 H 2.50
H: 0.0000 0.5000 0.0000  2 Ag 1.77
H: 0.0000 0.0000 0.5000  2 Ag 1.77

## Properties
Offset from the most stable computed form in eV per atom: 0.566
Total magnetic moment in Bohr magnetons per cell: 0.00

Entry 2:
## NiAg3H (GGA-PBE)

Data for a geometry-optimized NiAg3H structure.

abc: 4.0868 4.0868 4.0868
angles: 90.00 90.00 90.00
Closest atoms and distances in Å follow each position.
Positions (direct):
H: 0.0000 0.0000 0.0000  6 Ag 2.04
Ni: 0.5000 0.5000 0.5000  12 Ag 2.89
Ag: 0.0000 0.0000 0.5000  2 H 2.04
Ag: 0.0000 0.5000 0.0000  2 H 2.04
Ag: 0.5000 0.0000 0.0000  2 H 2.04

## Properties
Offset from the most stable computed form in eV per atom: 0.000
Total magnetic moment in Bohr magnetons per cell: 0.00

Entry 3:
## NiAgH3 (GGA-PBE)

Data for a geometry-optimized NiAgH3 structure.

abc: 3.3731 3.3731 3.3731
angles: 90.00 90.00 90.00
Closest atoms and distances in Å follow each position.
Positions (direct):
H: 0.0000 0.5000 0.0000  2 Ni 1.69
Ni: 0.0000 0.0000 0.0000  6 H 1.69
H: 0.0000 0.0000 0.5000  2 Ni 1.69
H: 0.5000 0.0000 0.0000  2 Ni 1.69
Ag: 0.5000 0.5000 0.5000  12 H 2.39

## Properties
Offset from the most stable computed form in eV per atom: 0.032
Total magnetic moment in Bohr magnetons per cell: 0.00

Entry 4:
## Ni3AgH (GGA-PBE)

Data for a geometry-optimized Ni3AgH structure.

abc: 4.6893 4.6893 4.6893
angles: 90.00 90.00 90.00
Closest atoms and distances in Å follow each position.
Positions (direct):
Ni: 0.0000 0.0000 0.5000  2 Ag 2.34
Ag: 0.0000 0.0000 0.0000  6 Ni 2.34
H: 0.5000 0.5000 0.5000  12 Ni 3.32
Ni: 0.5000 0.0000 0.0000  2 Ag 2.34
Ni: 0.0000 0.5000 0.0000  2 Ag 2.34

## Properties
Offset from the most stable computed form in eV per atom: 1.815
Total magnetic moment in Bohr magnetons per cell: 2.00

Entry 5:
## Ni4AgH8 (GGA-PBE)

Data for a geometry-optimized Ni4AgH8 structure.

abc: 5.1530 5.1530 5.9141
angles: 89.21 116.31 120.46
Closest atoms and distances in Å follow each position.
Positions (direct):
Ni: 0.7516 0.2488 0.0004  6 H 1.69-1.73
H: 0.3041 0.0298 0.8370  3 Ni 1.69-1.71
H: 0.6862 0.4720 0.1582  3 Ni 1.68-1.73
Ni: 0.2484 0.7512 0.9996  6 H 1.69-1.73
H: 0.1928 0.4671 0.1630  3 Ni 1.69-1.71
Ni: 0.7532 0.7532 0.0000  6 H 1.68-1.70
H: 0.8066 0.0309 0.8376  3 Ni 1.69
Ag: 0.0000 0.5000 0.5000  2 H 1.90
H: 0.6959 0.9702 0.1630  3 Ni 1.69-1.71
H: 0.3138 0.5280 0.8418  3 Ni 1.68-1.73
Ni: 0.2468 0.2468 0.0000  6 H 1.68-1.70
H: 0.8072 0.5329 0.8370  3 Ni 1.69-1.71
H: 0.1934 0.9691 0.1624  3 Ni 1.69

## Properties
DFT total energy in eV per atom: -4.0299
Total magnetic moment in Bohr magnetons per cell: 0.00

Entry 6:
## NiAgH2 (GGA-PBE)

Data for a geometry-optimized NiAgH2 structure.

abc: 3.6844 3.6844 3.6844
angles: 60.00 60.00 60.00
Closest atoms and distances in Å follow each position.
Positions (direct):
Ni: 0.0000 0.0000 0.0000  8 H 2.26
H: 0.2500 0.2500 0.2500  4 Ni 2.26, 4 Ag 2.26
Ag: 0.5000 0.5000 0.5000  8 H 2.26
H: 0.7500 0.7500 0.7500  4 Ni 2.26, 4 Ag 2.26

## Properties
Offset from the most stable computed form in eV per atom: 0.508
Total magnetic moment in Bohr magnetons per cell: 0.00

Entry 7:
## NiAgH3 (GGA-PBE)

Data for a geometry-optimized NiAgH3 structure.

abc: 4.4934 6.7263 6.1204
angles: 115.84 90.00 90.00
Closest atoms and distances in Å follow each position.
Positions (direct):
Ni: 0.2669 0.9207 0.5630  6 H 1.61-1.76
H: 0.7050 0.3513 0.0374  1 Ni 1.68
H: 0.4511 0.1455 0.6300  2 Ni 1.61-1.66
Ni: 0.7331 0.0793 0.4370  6 H 1.61-1.76
H: 0.0489 0.1455 0.1300  2 Ni 1.61-1.66
H: 0.0719 0.9407 0.3255  3 Ni 1.71-1.76
Ag: 0.8774 0.6293 0.2349  4 H 1.89-2.11
H: 0.2050 0.6487 0.4626  1 Ni 1.68
Ni: 0.2331 0.9207 0.0630  6 H 1.61-1.76
H: 0.9281 0.0593 0.6745  3 Ni 1.71-1.76
H: 0.4281 0.9407 0.8255  3 Ni 1.71-1.76
H: 0.9511 0.8545 0.8700  2 Ni 1.61-1.66
H: 0.5719 0.0593 0.1745  3 Ni 1.71-1.76
Ag: 0.3774 0.3707 0.2651  4 H 1.89-2.11
H: 0.2950 0.6487 0.9626  1 Ni 1.68
Ag: 0.1226 0.3707 0.7651  4 H 1.89-2.11
H: 0.5489 0.8545 0.3700  2 Ni 1.61-1.66
Ag: 0.6226 0.6293 0.7349  4 H 1.89-2.11
Ni: 0.7669 0.0793 0.9370  6 H 1.61-1.76
H: 0.7950 0.3513 0.5374  1 Ni 1.68

## Properties
Offset from the most stable computed form in eV per atom: 0.000
Total magnetic moment in Bohr magnetons per cell: 0.00

Entry 8:
## Ni2AgH (GGA-PBE)

Data for a geometry-optimized Ni2AgH structure.

abc: 5.0655 5.0655 5.0259
angles: 59.74 59.74 90.00
Closest atoms and distances in Å follow each position.
Positions (direct):
Ag: 0.7500 0.2500 0.5000  12 Ni 2.83-3.11, 4 H 3.09, 4 Ag 3.09
Ni: 0.3750 0.6571 0.7500  2 H 1.55
Ni: 0.3429 0.1250 0.2500  2 H 1.55
H: 0.5000 0.5000 0.0000  4 Ni 1.55
Ni: 0.4071 0.6250 0.2500  2 H 1.55
Ag: 0.0000 0.0000 0.0000  12 Ni 2.83-3.11, 4 H 3.09, 4 Ag 3.09
H: 0.2500 0.7500 0.5000  4 Ni 1.55
Ni: 0.8750 0.5929 0.7500  2 H 1.55

## Properties
Offset from the most stable computed form in eV per atom: 0.000
Total magnetic moment in Bohr magnetons per cell: 0.00

| no. | density of states at the Fermi level (states/eV/cell) |
| --- | --- |
| 1 | 1.5 |
| 2 | 1.9 |
| 3 | 0.7 |
| 4 | 10.2 |
| 5 | 2.4 |
| 6 | 1.2 |
| 7 | 1.4 |
| 8 | 7.6 |